<a>
The following is a PBEsol calculation of TcNi5 after structural relaxation, from Alexandria.

Cell lengths 4.3060, 4.3060, 4.0655 Å; angles 90.00, 90.00, 120.00 degrees
Fractional coordinates of all 6 atoms:
Tc (0.0000, 0.0000, 0.0000)
Ni (0.0000, 0.3356, 0.5000)
Ni (0.3333, 0.6667, 0.0000)
Ni (0.3356, 0.0000, 0.5000)
Ni (0.6644, 0.6644, 0.5000)
Ni (0.6667, 0.3333, 0.0000)

Computed properties:
space-group type: P-62m
magnetization: 0.0 μB per formula unit

=====

<b>
The following is a PBEsol calculation of TcNi5 after structural relaxation, from Alexandria.

Cell lengths 4.0542, 6.6114, 6.6114 Å; angles 21.81, 90.00, 90.00 degrees
Fractional coordinates of all 6 atoms:
Tc (0.0000, 0.0000, 0.0000)
Ni (0.0000, 0.3302, 0.3302)
Ni (0.0000, 0.6680, 0.6680)
Ni (0.5000, 0.1103, 0.1103)
Ni (0.5000, 0.4378, 0.4378)
Ni (0.5000, 0.7750, 0.7750)

Computed properties:
space-group type: Amm2
magnetization: 1.9 μB per formula unit

=====

Pick <a>: it beats the second-best structure by 0.026 eV/atom.

=====

<a>
The following is a PBEsol calculation of Tc3Ni after structural relaxation, from Alexandria.

Cell lengths 5.2910, 5.2910, 8.5717 Å; angles 90.00, 90.00, 120.00 degrees
Fractional coordinates of all 16 atoms:
Tc (0.0000, 0.5000, 0.0000)
Tc (0.0000, 0.5000, 0.5000)
Tc (0.1661, 0.3322, 0.2500)
Tc (0.1661, 0.8339, 0.2500)
Tc (0.3322, 0.1661, 0.7500)
Tc (0.5000, 0.0000, 0.0000)
Tc (0.5000, 0.0000, 0.5000)
Tc (0.5000, 0.5000, 0.0000)
Tc (0.5000, 0.5000, 0.5000)
Tc (0.6678, 0.8339, 0.2500)
Tc (0.8339, 0.1661, 0.7500)
Tc (0.8339, 0.6678, 0.7500)
Ni (0.0000, 0.0000, 0.0000)
Ni (0.0000, 0.0000, 0.5000)
Ni (0.3333, 0.6667, 0.7500)
Ni (0.6667, 0.3333, 0.2500)

Computed properties:
space-group type: P6_3/mmc
magnetization: 0.0 μB per formula unit

=====

<b>
The following is a PBEsol calculation of Tc3Ni after structural relaxation, from Alexandria.

Cell lengths 4.2539, 5.3260, 4.5874 Å; angles 90.00, 90.00, 90.00 degrees
Fractional coordinates of all 8 atoms:
Tc (0.2500, 0.0026, 0.1714)
Tc (0.2500, 0.4974, 0.1714)
Tc (0.2500, 0.7500, 0.6647)
Tc (0.7500, 0.2500, 0.3353)
Tc (0.7500, 0.5026, 0.8286)
Tc (0.7500, 0.9974, 0.8286)
Ni (0.2500, 0.2500, 0.6696)
Ni (0.7500, 0.7500, 0.3304)

Computed properties:
space-group type: Pmmn
magnetization: 0.0 μB per formula unit

=====

Pick <b>: it beats the second-best structure by 0.036 eV/atom.

=====

<a>
The following is a PBEsol calculation of Tc3Ni after structural relaxation, from Alexandria.

Cell lengths 4.3660, 4.3660, 4.3660 Å; angles 90.00, 90.00, 90.00 degrees
Fractional coordinates of all 4 atoms:
Tc (0.0000, 0.0000, 0.5000)
Tc (0.0000, 0.5000, 0.0000)
Tc (0.5000, 0.0000, 0.0000)
Ni (0.0000, 0.0000, 0.0000)

Computed properties:
space-group type: Pm-3m
magnetization: 0.0 μB per formula unit

=====

<b>
The following is a PBEsol calculation of Tc3Ni after structural relaxation, from Alexandria.

Cell lengths 2.6862, 4.2202, 4.6149 Å; angles 90.00, 90.00, 90.00 degrees
Fractional coordinates of all 4 atoms:
Tc (0.0000, 0.0000, 0.0000)
Tc (0.0000, 0.5000, 0.3347)
Tc (0.5000, 0.5000, 0.8204)
Ni (0.5000, 0.0000, 0.4899)

Computed properties:
space-group type: Pmm2
magnetization: 0.0 μB per formula unit

=====

<c>
The following is a PBEsol calculation of Tc3Ni after structural relaxation, from Alexandria.

Cell lengths 4.9704, 4.9704, 4.9704 Å; angles 117.12, 117.12, 117.12 degrees
Fractional coordinates of all 4 atoms:
Tc (0.0000, 0.5000, 0.5000)
Tc (0.5000, 0.0000, 0.5000)
Tc (0.5000, 0.5000, 0.0000)
Ni (0.0000, 0.0000, 0.0000)

Computed properties:
space-group type: R-3m
magnetization: 0.0 μB per formula unit

=====

<d>
The following is a PBEsol calculation of Tc3Ni after structural relaxation, from Alexandria.

Cell lengths 4.2155, 4.2155, 4.2155 Å; angles 60.00, 60.00, 60.00 degrees
Fractional coordinates of all 4 atoms:
Tc (0.0000, 0.0000, 0.0000)
Tc (0.2500, 0.2500, 0.2500)
Tc (0.7500, 0.7500, 0.7500)
Ni (0.5000, 0.5000, 0.5000)

Computed properties:
space-group type: Fm-3m
magnetization: 0.0 μB per formula unit

=====

Pick <b>: it beats the second-best structure by 0.242 eV/atom.

=====

<a>
The following is a PBEsol calculation of TcNiTe after structural relaxation, from Alexandria.

Cell lengths 3.0823, 3.0823, 5.7997 Å; angles 90.00, 90.00, 120.00 degrees
Fractional coordinates of all 3 atoms:
Tc (0.0000, 0.0000, 0.0000)
Ni (0.6667, 0.3333, 0.3179)
Te (0.3333, 0.6667, 0.6543)

Computed properties:
space-group type: P3m1
magnetization: 0.0 μB per formula unit

=====

<b>
The following is a PBEsol calculation of TcNiTe after structural relaxation, from Alexandria.

Cell lengths 4.2061, 4.2061, 4.2061 Å; angles 60.00, 60.00, 60.00 degrees
Fractional coordinates of all 3 atoms:
Tc (0.0000, 0.0000, 0.0000)
Ni (0.2500, 0.2500, 0.2500)
Te (0.7500, 0.7500, 0.7500)

Computed properties:
space-group type: F-43m
magnetization: 0.0 μB per formula unit

=====

Pick <b>: it beats the second-best structure by 0.196 eV/atom.

=====

<a>
The following is a PBEsol calculation of TcNiW2 after structural relaxation, from Alexandria.

Cell lengths 3.1805, 3.1805, 5.5309 Å; angles 90.00, 90.00, 90.00 degrees
Fractional coordinates of all 4 atoms:
Tc (0.0000, 0.0000, 0.0000)
Ni (0.0000, 0.0000, 0.5000)
W (0.5000, 0.5000, 0.2646)
W (0.5000, 0.5000, 0.7354)

Computed properties:
space-group type: P4/mmm
magnetization: 0.0 μB per formula unit

=====

<b>
The following is a PBEsol calculation of TcNiW2 after structural relaxation, from Alexandria.

Cell lengths 3.1603, 3.1603, 5.6216 Å; angles 90.00, 90.00, 90.00 degrees
Fractional coordinates of all 4 atoms:
Tc (0.0000, 0.0000, 0.0000)
Ni (0.5000, 0.5000, 0.7506)
W (0.0000, 0.0000, 0.5418)
W (0.5000, 0.5000, 0.2531)

Computed properties:
space-group type: P4mm
magnetization: 0.0 μB per formula unit

=====

Pick <b>: it beats the second-best structure by 0.017 eV/atom.

=====

<a>
The following is a PBEsol calculation of ZrTcNi after structural relaxation, from Alexandria.

Cell lengths 4.1402, 4.1402, 4.1402 Å; angles 60.00, 60.00, 60.00 degrees
Fractional coordinates of all 3 atoms:
Zr (0.0000, 0.0000, 0.0000)
Tc (0.5000, 0.5000, 0.5000)
Ni (0.2500, 0.2500, 0.2500)

Computed properties:
space-group type: F-43m
magnetization: 0.0 μB per formula unit

=====

<b>
The following is a PBEsol calculation of ZrTcNi after structural relaxation, from Alexandria.

Cell lengths 6.2952, 6.2924, 2.7263 Å; angles 77.55, 77.43, 25.02 degrees
Fractional coordinates of all 3 atoms:
Zr (0.0000, 0.0000, 0.0000)
Tc (0.6924, 0.6924, 0.3076)
Ni (0.3271, 0.3271, 0.6729)

Computed properties:
space-group type: Fmm2
magnetization: 0.0 μB per formula unit

=====

Pick <b>: it beats the second-best structure by 0.283 eV/atom.

=====

<a>
The following is a PBEsol calculation of ZrTc2Ni after structural relaxation, from Alexandria.

Cell lengths 3.1901, 3.1901, 5.8535 Å; angles 90.00, 90.00, 90.00 degrees
Fractional coordinates of all 4 atoms:
Zr (0.0000, 0.0000, 0.0000)
Tc (0.5000, 0.5000, 0.2929)
Tc (0.5000, 0.5000, 0.7071)
Ni (0.0000, 0.0000, 0.5000)

Computed properties:
space-group type: P4/mmm
magnetization: 0.0 μB per formula unit

=====

<b>
The following is a PBEsol calculation of ZrTc2Ni after structural relaxation, from Alexandria.

Cell lengths 9.0879, 9.0879, 9.0879 Å; angles 17.48, 17.48, 17.48 degrees
Fractional coordinates of all 4 atoms:
Zr (0.0000, 0.0000, 0.0000)
Tc (0.5055, 0.5055, 0.5055)
Tc (0.7623, 0.7623, 0.7623)
Ni (0.2491, 0.2491, 0.2491)

Computed properties:
space-group type: R3m
magnetization: 0.0 μB per formula unit

=====

Pick <a>: it beats the second-best structure by 0.133 eV/atom.

=====

<a>
The following is a PBEsol calculation of Ni5Te after structural relaxation, from Alexandria.

Cell lengths 4.3864, 4.3864, 5.1252 Å; angles 106.89, 106.89, 48.96 degrees
Fractional coordinates of all 6 atoms:
Ni (0.0000, 0.0000, 0.0000)
Ni (0.3286, 0.3286, 0.1550)
Ni (0.3340, 0.3340, 0.6800)
Ni (0.6660, 0.6660, 0.3200)
Ni (0.6714, 0.6714, 0.8450)
Te (0.0000, 0.0000, 0.5000)

Computed properties:
space-group type: C2/m
magnetization: 0.0 μB per formula unit

=====

<b>
The following is a PBEsol calculation of Ni5Te after structural relaxation, from Alexandria.

Cell lengths 4.4317, 4.4317, 4.1376 Å; angles 90.00, 90.00, 120.00 degrees
Fractional coordinates of all 6 atoms:
Ni (0.0000, 0.6525, 0.0000)
Ni (0.3333, 0.6667, 0.5000)
Ni (0.3475, 0.3475, 0.0000)
Ni (0.6525, 0.0000, 0.0000)
Ni (0.6667, 0.3333, 0.5000)
Te (0.0000, 0.0000, 0.5000)

Computed properties:
space-group type: P-62m
magnetization: 0.0 μB per formula unit

=====

Pick <b>: it beats the second-best structure by 0.007 eV/atom.

=====

<a>
The following is a PBEsol calculation of YNiTe3 after structural relaxation, from Alexandria.

Cell lengths 5.0269, 5.0269, 5.0269 Å; angles 90.00, 90.00, 90.00 degrees
Fractional coordinates of all 5 atoms:
Y (0.0000, 0.0000, 0.0000)
Ni (0.5000, 0.5000, 0.5000)
Te (0.0000, 0.5000, 0.5000)
Te (0.5000, 0.0000, 0.5000)
Te (0.5000, 0.5000, 0.0000)

Computed properties:
space-group type: Pm-3m
magnetization: 0.0 μB per formula unit

=====

<b>
The following is a PBEsol calculation of YNiTe3 after structural relaxation, from Alexandria.

Cell lengths 5.7067, 5.7067, 5.7067 Å; angles 90.00, 90.00, 90.00 degrees
Fractional coordinates of all 5 atoms:
Y (0.0000, 0.0000, 0.0000)
Ni (0.5000, 0.5000, 0.5000)
Te (0.0000, 0.0000, 0.5000)
Te (0.0000, 0.5000, 0.0000)
Te (0.5000, 0.0000, 0.0000)

Computed properties:
space-group type: Pm-3m
magnetization: 1.5 μB per formula unit

=====

Pick <a>: it beats the second-best structure by 0.930 eV/atom.

=====

<a>
The following is a PBEsol calculation of ZnNiTe after structural relaxation, from Alexandria.

Cell lengths 6.1259, 6.1259, 6.1259 Å; angles 151.30, 151.30, 41.04 degrees
Fractional coordinates of all 3 atoms:
Zn (0.0000, 0.0000, 0.0000)
Ni (0.3844, 0.3844, 0.0000)
Te (0.7379, 0.7379, 0.0000)

Computed properties:
space-group type: I4mm
magnetization: 0.0 μB per formula unit

=====

<b>
The following is a PBEsol calculation of ZnNiTe after structural relaxation, from Alexandria.

Cell lengths 3.9463, 3.9463, 4.0569 Å; angles 90.00, 90.00, 120.00 degrees
Fractional coordinates of all 3 atoms:
Zn (0.0000, 0.0000, 0.0000)
Ni (0.6667, 0.3333, 0.2441)
Te (0.3333, 0.6667, 0.4933)

Computed properties:
space-group type: P3m1
magnetization: 0.0 μB per formula unit

=====

<c>
The following is a PBEsol calculation of ZnNiTe after structural relaxation, from Alexandria.

Cell lengths 4.1828, 4.1828, 4.1828 Å; angles 60.00, 60.00, 60.00 degrees
Fractional coordinates of all 3 atoms:
Zn (0.0000, 0.0000, 0.0000)
Ni (0.2500, 0.2500, 0.2500)
Te (0.5000, 0.5000, 0.5000)

Computed properties:
space-group type: F-43m
magnetization: 0.0 μB per formula unit

=====

Pick <c>: it beats the second-best structure by 0.275 eV/atom.

=====

<a>
The following is a PBEsol calculation of TlZnNi2 after structural relaxation, from Alexandria.

Cell lengths 3.9800, 3.9800, 3.4703 Å; angles 90.00, 90.00, 90.00 degrees
Fractional coordinates of all 4 atoms:
Tl (0.0000, 0.0000, 0.0000)
Zn (0.5000, 0.5000, 0.0000)
Ni (0.0000, 0.5000, 0.5000)
Ni (0.5000, 0.0000, 0.5000)

Computed properties:
space-group type: P4/mmm
magnetization: 0.0 μB per formula unit

=====

<b>
The following is a PBEsol calculation of TlZnNi2 after structural relaxation, from Alexandria.

Cell lengths 3.0478, 3.0478, 6.2048 Å; angles 90.00, 90.00, 90.00 degrees
Fractional coordinates of all 4 atoms:
Tl (0.0000, 0.0000, 0.0000)
Zn (0.5000, 0.5000, 0.3465)
Ni (0.0000, 0.0000, 0.5301)
Ni (0.5000, 0.5000, 0.7405)

Computed properties:
space-group type: P4mm
magnetization: 0.0 μB per formula unit

=====

Pick <a>: it beats the second-best structure by 0.084 eV/atom.

=====

<a>
The following is a PBEsol calculation of NiW2 after structural relaxation, from Alexandria.

Cell lengths 4.3754, 4.3754, 2.5665 Å; angles 90.00, 90.00, 120.00 degrees
Fractional coordinates of all 3 atoms:
Ni (0.0000, 0.0000, 0.0000)
W (0.3333, 0.6667, 0.6814)
W (0.6667, 0.3333, 0.3186)

Computed properties:
space-group type: P-3m1
magnetization: 0.0 μB per formula unit

=====

<b>
The following is a PBEsol calculation of NiW2 after structural relaxation, from Alexandria.

Cell lengths 4.7307, 4.7307, 4.7307 Å; angles 140.53, 140.53, 57.05 degrees
Fractional coordinates of all 3 atoms:
Ni (0.0000, 0.0000, 0.0000)
W (0.3351, 0.3351, 0.0000)
W (0.6649, 0.6649, 0.0000)

Computed properties:
space-group type: I4/mmm
magnetization: 0.0 μB per formula unit

=====

Pick <a>: it beats the second-best structure by 0.040 eV/atom.

=====

<a>
The following is a PBEsol calculation of YNiW2 after structural relaxation, from Alexandria.

Cell lengths 9.7855, 9.7855, 9.7855 Å; angles 16.49, 16.49, 16.49 degrees
Fractional coordinates of all 4 atoms:
Y (0.0000, 0.0000, 0.0000)
Ni (0.5000, 0.5000, 0.5000)
W (0.2377, 0.2377, 0.2377)
W (0.7623, 0.7623, 0.7623)

Computed properties:
space-group type: R-3m
magnetization: 0.0 μB per formula unit

=====

<b>
The following is a PBEsol calculation of YNiW2 after structural relaxation, from Alexandria.

Cell lengths 5.7047, 5.7047, 5.7047 Å; angles 149.61, 134.05, 56.09 degrees
Fractional coordinates of all 4 atoms:
Y (0.0000, 0.0000, 0.0000)
Ni (0.5000, 0.5000, 0.0000)
W (0.2757, 0.7757, 0.5000)
W (0.7243, 0.2243, 0.5000)

Computed properties:
space-group type: Immm
magnetization: 0.0 μB per formula unit

=====

Pick <b>: it beats the second-best structure by 0.328 eV/atom.